5
Lattice="3.969 0.000 0.000 0.000 3.969 0.000 0.000 0.000 6.838" Properties=species:S:1:pos:R:3 comment="GGA-PBEsol YBePtO2, optimized geometry" e_form_raw_ev_per_fu=-0.6 vol_a3_per_cell=108 magmom_total_mub_per_fu=1.2 pbc="T T T"
Y 0.000 0.000 0.000
Be 0.000 0.000 3.419
O 0.000 1.985 0.000
O 1.985 0.000 0.000
Pt 1.985 1.985 3.419